A plane-wave DFT calculation with PBE was carried out for a relaxed CaCrTc2 crystal.

abc: 6.2864 6.2864 6.2864
angles: 90.00 90.00 90.00
Last column: nearest neighbours and their distance in Å.
Positions (direct):
Ca  0.0000  0.0000  0.0000  8 Tc 2.72
Ca  0.0000  0.5000  0.5000  8 Tc 2.72
Ca  0.5000  0.0000  0.5000  8 Tc 2.72
Ca  0.5000  0.5000  0.0000  8 Tc 2.72
Cr  0.0000  0.0000  0.5000  8 Tc 2.72
Cr  0.0000  0.5000  0.0000  8 Tc 2.72
Cr  0.5000  0.0000  0.0000  8 Tc 2.72
Cr  0.5000  0.5000  0.5000  8 Tc 2.72
Tc  0.2500  0.2500  0.2500  4 Cr 2.72, 4 Ca 2.72
Tc  0.2500  0.2500  0.7500  4 Cr 2.72, 4 Ca 2.72
Tc  0.2500  0.7500  0.2500  4 Cr 2.72, 4 Ca 2.72
Tc  0.2500  0.7500  0.7500  4 Cr 2.72, 4 Ca 2.72
Tc  0.7500  0.2500  0.2500  4 Cr 2.72, 4 Ca 2.72
Tc  0.7500  0.2500  0.7500  4 Cr 2.72, 4 Ca 2.72
Tc  0.7500  0.7500  0.2500  4 Cr 2.72, 4 Ca 2.72
Tc  0.7500  0.7500  0.7500  4 Cr 2.72, 4 Ca 2.72

- total magnetic moment (μB/f.u.) = 0.0
- uncorrected energy (eV per atom) = -7.4184
- relative energy among the computed polymorphs (eV per atom) = 0.4483

A plane-wave DFT calculation with PBE was carried out for a relaxed Ho7Er2Sc3 crystal.

abc: 18.4076 18.4076 3.5036
angles: 90.00 90.00 162.38
Last column: nearest neighbours and their distance in Å.
Positions (direct):
Ho  0.0000  0.0000  0.0000  4 Sc 3.32, 2 Ho 3.50
Ho  0.0911  0.9089  0.5000  8 Ho 3.40-3.75, 2 Sc 3.53, 2 Er 3.53
Ho  0.2716  0.7284  0.0000  4 Ho 3.23-3.50, 2 Sc 3.36, 3 Er 3.41-3.50
Ho  0.4287  0.5713  0.0000  4 Sc 3.13-3.34, 6 Ho 3.40-3.50
Ho  0.5713  0.4287  0.0000  4 Sc 3.13-3.34, 6 Ho 3.40-3.50
Ho  0.7284  0.2716  0.0000  4 Ho 3.23-3.50, 2 Sc 3.36, 3 Er 3.41-3.50
Ho  0.9089  0.0911  0.5000  8 Ho 3.40-3.75, 2 Sc 3.53, 2 Er 3.53
Er  0.1755  0.8245  0.0000  5 Ho 3.41-3.53, 4 Sc 3.45, 2 Er 3.50
Er  0.8245  0.1755  0.0000  5 Ho 3.41-3.53, 4 Sc 3.45, 2 Er 3.50
Sc  0.3505  0.6495  0.5000  6 Ho 3.34-3.53, 4 Er 3.45, 2 Sc 3.50
Sc  0.5000  0.5000  0.5000  8 Ho 3.13-3.32, 2 Sc 3.50
Sc  0.6495  0.3505  0.5000  6 Ho 3.34-3.53, 4 Er 3.45, 2 Sc 3.50

- total magnetic moment (μB/f.u.) = 1.0
- uncorrected energy (eV per atom) = -4.8608